(P)
The following is a PBE-GGA calculation of a geometry-optimized NaCoSiPb structure, from OQMD.

```
16
Lattice="6.527 0.000 0.000 0.000 6.527 0.000 0.000 0.000 6.527" Properties=species:S:1:pos:R:3 pbc="T T T"
Na 0.000 0.000 0.000
Na 0.000 3.264 3.264
Na 3.264 0.000 3.264
Na 3.264 3.264 0.000
Co 0.000 0.000 3.264
Co 0.000 3.264 0.000
Co 3.264 0.000 0.000
Co 3.264 3.264 3.264
Si 1.632 1.632 4.895
Si 1.632 4.895 1.632
Si 4.895 1.632 1.632
Si 4.895 4.895 4.895
Pb 1.632 1.632 1.632
Pb 1.632 4.895 4.895
Pb 4.895 1.632 4.895
Pb 4.895 4.895 1.632
```



(Q)
The following is a PBE-GGA calculation of a geometry-optimized NaCoSiPb structure, from OQMD.

```
16
Lattice="6.761 0.000 0.000 0.000 6.761 0.000 0.000 0.000 6.761" Properties=species:S:1:pos:R:3 pbc="T T T"
Na 0.000 0.000 0.000
Na 0.000 3.381 3.381
Na 3.381 0.000 3.381
Na 3.381 3.381 0.000
Co 1.690 1.690 1.690
Co 1.690 5.071 5.071
Co 5.071 1.690 5.071
Co 5.071 5.071 1.690
Si 1.690 1.690 5.071
Si 1.690 5.071 1.690
Si 5.071 1.690 1.690
Si 5.071 5.071 5.071
Pb 0.000 0.000 3.381
Pb 0.000 3.381 0.000
Pb 3.381 0.000 0.000
Pb 3.381 3.381 3.381
```



The computed energies, referenced to the most stable structure and given in meV per atom, are (P) 0; (Q) 255.